Material: Na2VHgBi
Method: DFT, PBE
State: optimized geometry

M_tot   0.13 μB/atom
Calculated density   5.1 g/cm³
Space group   P4/mmm, No. 123
E_form   985 meV per atom

Cell lengths 5.3436, 5.3436, 5.8231 Å; angles 90.00, 90.00, 90.00 degrees
Positions (direct):
Na (0.0000, 0.5000, 0.0000)
Na (0.5000, 0.0000, 0.0000)
V (0.0000, 0.0000, 0.5000)
Hg (0.5000, 0.5000, 0.0000)
Bi (0.5000, 0.5000, 0.5000)